[1]
Density functional theory data (meta-GGA SCAN) for CaHf2MgGe at its PBEsol-relaxed geometry.

Cell lengths 4.867, 5.100, 5.100 Å; angles 90.00, 90.00, 90.00 degrees
Each line ends with the local moment (μB).
Positions (direct):
Hf 0.000 0.500 0.000  0.35
Hf 0.000 0.000 0.500  0.35
Ca 0.500 0.500 0.500  0.07
Ge 0.500 0.000 0.000  -0.03
Mg 0.000 0.000 0.000  0.02

Results
Formation energy in meV per atom: 1000

***

[2]
Density functional theory data (meta-GGA SCAN) for Ca2HfGeP at its PBEsol-relaxed geometry.

Cell lengths 4.926, 5.215, 5.215 Å; angles 90.00, 90.00, 90.00 degrees
Each line ends with the local moment (μB).
Positions (direct):
Ca 0.000 0.000 0.500  0.06
Ca 0.000 0.500 0.000  0.06
Ge 0.500 0.000 0.000  -0.04
Hf 0.500 0.500 0.500  1.05
P 0.000 0.000 0.000  0.00

Results
Formation energy in meV per atom: 333

***

[3]
Density functional theory data (meta-GGA SCAN) for Ca2HgGe at its PBEsol-relaxed geometry.

Cell lengths 5.170, 5.170, 5.170 Å; angles 60.00, 60.00, 60.00 degrees
Positions (direct):
Ca 0.750 0.750 0.750
Ca 0.250 0.250 0.250
Ge 0.000 0.000 0.000
Hg 0.500 0.500 0.500

Results
Formation energy in meV per atom: -694

***

[4]
Density functional theory data (meta-GGA SCAN) for Ca2HgGe2 at its PBEsol-relaxed geometry.

Cell lengths 3.764, 3.764, 9.093 Å; angles 101.95, 101.95, 90.00 degrees
Positions (direct):
Ge 0.750 0.250 0.500
Ge 0.250 0.750 0.500
Ca 0.394 0.394 0.787
Ca 0.606 0.606 0.213
Hg 0.000 0.000 0.000

Results
Formation energy in meV per atom: -401

***

[5]
Density functional theory data (meta-GGA SCAN) for Ca2HgGeP at its PBEsol-relaxed geometry.

Cell lengths 4.706, 5.694, 5.694 Å; angles 90.00, 90.00, 90.00 degrees
Each line ends with the local moment (μB).
Positions (direct):
Ca 0.000 0.500 0.000  0.04
Ca 0.000 0.000 0.500  0.04
P 0.500 0.000 0.000  0.03
Ge 0.500 0.500 0.500  0.34
Hg 0.000 0.000 0.000  0.03

Results
Formation energy in meV per atom: 234

***

[6]
Density functional theory data (meta-GGA SCAN) for CaHo2Ge4O12 at its PBEsol-relaxed geometry.

Cell lengths 5.055, 9.960, 9.960 Å; angles 90.00, 90.00, 90.00 degrees
Positions (direct):
O 0.746 0.676 0.571
O 0.831 0.877 0.377
O 0.850 0.130 0.870
O 0.746 0.824 0.929
O 0.746 0.071 0.176
O 0.254 0.176 0.071
O 0.169 0.123 0.623
O 0.746 0.429 0.324
O 0.740 0.171 0.440
O 0.850 0.370 0.630
O 0.831 0.623 0.123
O 0.260 0.671 0.940
O 0.740 0.940 0.671
O 0.254 0.324 0.429
O 0.740 0.560 0.829
O 0.260 0.060 0.329
O 0.254 0.571 0.676
O 0.254 0.929 0.824
O 0.260 0.440 0.171
O 0.150 0.870 0.130
O 0.740 0.329 0.060
O 0.169 0.377 0.877
O 0.150 0.630 0.370
O 0.260 0.829 0.560
Ge 0.004 0.019 0.750
Ge 0.004 0.250 0.981
Ge 0.996 0.750 0.481
Ge 0.996 0.750 0.019
Ge 0.004 0.481 0.750
Ge 0.996 0.519 0.250
Ge 0.996 0.981 0.250
Ge 0.004 0.250 0.519
Ho 0.500 0.750 0.750
Ho 0.500 0.250 0.250
Ho 0.500 0.000 0.500
Ho 0.500 0.500 0.000
Ca 0.500 0.000 0.000
Ca 0.500 0.500 0.500

Results
ΔE_f (raw) in eV per atom: -2.608

***

no.,E_tot (eV/atom)
1,-30.8145
2,-21.9643
3,-27.3392
4,-25.5344
5,-23.1618
6,-16.2271